Below is a relaxed structure of Dy3NpO7, with properties calculated at the GGA-PBE level.

Values from the calculation:
DOS at the Fermi energy: 0.505 states/eV per atom
Total magnetic moment: 0.182 μB/atom
Uncorrected formation energy: -3.393 eV per atom

a = 7.562 Å, b = 10.760 Å, c = 7.685 Å
α = 90.00°, β = 90.00°, γ = 90.00°
Space group Cmcm (No. 63)
Asymmetric unit:
Dy 0.000 0.000 0.000 [4 per cell]
Dy 0.232 0.264 0.250 [8 per cell]
Np 0.000 0.500 0.000 [4 per cell]
O 0.000 0.133 0.250 [4 per cell]
O 0.000 0.133 0.750 [4 per cell]
O 0.000 0.405 0.250 [4 per cell]
O 0.211 0.375 0.530 [16 per cell]


Below is a relaxed structure of DyErRh, with properties calculated at the GGA-PBE level.

Values from the calculation:
Energy of formation: -0.608 eV per atom
Polymorph energy (0 for the lowest one): 0 kJ/mol of formula units
DOS at the Fermi energy: 0.955 states/eV per atom
Total magnetic moment: 0.000 μB/atom

a = 6.768 Å, b = 6.768 Å, c = 6.768 Å
α = 90.00°, β = 90.00°, γ = 90.00°
Space group F-43m (No. 216)
Asymmetric unit:
Dy 0.000 0.000 0.000 [4 per cell]
Er 0.000 0.000 0.500 [4 per cell]
Rh 0.250 0.250 0.250 [4 per cell]


Below is a relaxed structure of Ac3Ga9Ru2, with properties calculated at the GGA-PBE level.

Values from the calculation:
Energy of formation: -0.533 eV per atom
Polymorph energy (0 for the lowest one): 0 kJ/mol of formula units
DOS at the Fermi energy: 0.636 states/eV per atom
Total magnetic moment: 0.000 μB/atom

a = 6.6047 Å, b = 6.6047 Å, c = 8.0031 Å
α = 90.00°, β = 90.00°, γ = 120.00°
Space group P-3m1 (No. 164)
Asymmetric unit:
Ac 0.0000 0.0000 0.0000 [1 per cell]
Ac 0.3333 0.6667 0.3397 [2 per cell]
Ga 0.0000 0.5000 0.0000 [3 per cell]
Ga 0.1395 0.2790 0.6406 [6 per cell]
Ru 0.3333 0.6667 0.8103 [2 per cell]


Below is a relaxed structure of LiCaSb2, with properties calculated at the GGA-PBE level.

Values from the calculation:
Polymorph energy (0 for the lowest one): 10 kJ/mol of formula units
DOS at the Fermi energy: 0.279 states/eV per atom
Total magnetic moment: 0.000 μB/atom
Uncorrected formation energy: -0.597 eV per atom

a = 9.341 Å, b = 4.173 Å, c = 5.627 Å
α = 90.00°, β = 107.66°, γ = 90.00°
Space group C2/m (No. 12)
Asymmetric unit:
Li 0.000 0.000 0.000 [2 per cell]
Ca 0.000 0.500 0.500 [2 per cell]
Sb 0.244 0.500 0.207 [4 per cell]


Below is a relaxed structure of Ce2PmI6, with properties calculated at the GGA-PBE level.

Values from the calculation:
Polymorph energy (0 for the lowest one): 0 kJ/mol of formula units
DOS at the Fermi energy: 1.659 states/eV per atom
Total magnetic moment: 0.428 μB/atom
Uncorrected formation energy: -1.249 eV per atom

a = 17.497 Å, b = 4.230 Å, c = 11.588 Å
α = 90.00°, β = 115.67°, γ = 90.00°
Space group C2/m (No. 12)
Asymmetric unit:
Ce 0.175 0.000 0.347 [4 per cell]
Pm 0.000 0.500 0.000 [2 per cell]
I 0.022 0.500 0.285 [4 per cell]
I 0.145 0.000 0.049 [4 per cell]
I 0.180 0.000 0.626 [4 per cell]


Below is a relaxed structure of NpMn2Re, with properties calculated at the GGA-PBE level.

Values from the calculation:
Energy of formation: 0.336 eV per atom
DOS at the Fermi energy: 1.494 states/eV per atom
Total magnetic moment: 0.474 μB/atom

a = 2.7569 Å, b = 2.7569 Å, c = 27.2310 Å
α = 90.00°, β = 90.00°, γ = 120.00°
Space group R-3m (No. 166, hexagonal axes)
Asymmetric unit:
Np 0.0000 0.0000 0.0000 [3 per cell]
Mn 0.0000 0.0000 0.2428 [6 per cell]
Re 0.0000 0.0000 0.5000 [3 per cell]


Please write out number 6 again, unchanged.
Below is a relaxed structure of NpMn2Re, with properties calculated at the GGA-PBE level.

Values from the calculation:
Energy of formation: 0.336 eV per atom
DOS at the Fermi energy: 1.494 states/eV per atom
Total magnetic moment: 0.474 μB/atom

a = 2.7569 Å, b = 2.7569 Å, c = 27.2310 Å
α = 90.00°, β = 90.00°, γ = 120.00°
Space group R-3m (No. 166, hexagonal axes)
Asymmetric unit:
Np 0.0000 0.0000 0.0000 [3 per cell]
Mn 0.0000 0.0000 0.2428 [6 per cell]
Re 0.0000 0.0000 0.5000 [3 per cell]